Rb3Cd5Br12: optimized geometry, PBE.

The structure in POSCAR format:
```
Rb3Cd5Br12
1.0
15.689 0.000 0.000
-5.230 14.792 0.000
-5.230 -7.396 12.810
Br Cd Rb
48 20 12
Direct
0.699 0.114 0.020
0.199 0.680 0.086
0.086 0.906 0.386
0.914 0.094 0.614
0.914 0.820 0.801
0.320 0.801 0.414
0.980 0.386 0.301
0.594 0.614 0.414
0.320 0.520 0.406
0.906 0.820 0.520
0.820 0.906 0.020
0.094 0.180 0.480
0.406 0.020 0.320
0.199 0.520 0.614
0.820 0.914 0.301
0.480 0.801 0.886
0.886 0.586 0.906
0.180 0.086 0.699
0.386 0.980 0.801
0.586 0.699 0.680
0.020 0.406 0.820
0.801 0.480 0.386
0.680 0.480 0.594
0.680 0.199 0.586
0.406 0.386 0.586
0.414 0.114 0.594
0.520 0.199 0.114
0.886 0.301 0.480
0.614 0.594 0.914
0.086 0.180 0.199
0.114 0.414 0.094
0.414 0.301 0.320
0.480 0.680 0.094
0.614 0.020 0.199
0.594 0.980 0.680
0.520 0.320 0.906
0.386 0.406 0.086
0.301 0.414 0.820
0.586 0.886 0.406
0.180 0.094 0.980
0.020 0.614 0.699
0.094 0.914 0.114
0.980 0.594 0.180
0.906 0.086 0.886
0.114 0.699 0.520
0.301 0.886 0.980
0.699 0.586 0.180
0.801 0.320 0.914
0.500 0.500 0.000
0.625 0.750 0.875
0.750 0.625 0.375
0.875 0.250 0.625
0.250 0.875 0.125
0.500 0.500 0.500
0.375 0.125 0.750
0.625 0.875 0.250
0.875 0.625 0.750
0.750 0.125 0.875
0.250 0.375 0.625
0.000 0.500 0.500
0.500 0.000 0.000
0.125 0.750 0.375
0.000 0.000 0.000
0.000 0.000 0.500
0.375 0.250 0.125
0.000 0.500 0.000
0.125 0.375 0.250
0.500 0.000 0.500
0.625 0.250 0.375
0.375 0.625 0.250
0.125 0.250 0.875
0.250 0.125 0.375
0.875 0.125 0.250
0.250 0.625 0.875
0.875 0.750 0.125
0.125 0.875 0.750
0.625 0.375 0.750
0.375 0.750 0.625
0.750 0.875 0.625
0.750 0.375 0.125
```

Uncorrected formation energy, meV per atom: -1080.2
DFT total energy, Ha/atom: -0.0903
D(E_F), states/eV/f.u.: 1.5
SG: Ia-3d, No. 230